No. 1
Computed, not measured: an optimized crystal structure of TbNdSm2Ho5 at the PBE level of DFT.

Structure (POSCAR):
```
TbNdSm2Ho5
1.0
-4.372 4.372 7.651
4.372 -4.372 7.651
4.372 4.372 -7.651
Tb Nd Sm Ho
2 2 4 10
direct
0.250 0.750 0.500
0.750 0.250 0.500
0.250 0.250 0.000
0.750 0.750 0.000
0.116 0.616 0.732
0.384 0.116 0.500
0.616 0.884 0.500
0.884 0.384 0.268
0.000 0.000 0.000
0.072 0.155 0.500
0.155 0.655 0.083
0.345 0.428 0.500
0.428 0.928 0.083
0.500 0.500 0.000
0.572 0.072 0.917
0.655 0.572 0.500
0.845 0.345 0.917
0.928 0.845 0.500
```

Results
- E_form (eV per atom) = 0.269
- ρ (kg/m³) = 8108
- spin magnetization (μB per formula unit) = 0.000
- DOS at the Fermi energy (states/eV/cell) = 20.0
- total DFT energy (no corrections) (Ry per atom) = -0.3210
- symmetry = I4/mcm (140)

---

No. 2
Computed, not measured: an optimized crystal structure of TbNdSm2Ho2 at the PBE level of DFT.

Structure (POSCAR):
```
TbNdSm2Ho2
1.0
6.605 0.000 0.000
0.000 17.975 0.000
0.000 0.000 3.407
Tb Nd Sm Ho
2 2 4 4
direct
0.000 0.000 0.000
0.500 0.500 0.500
0.000 0.500 0.000
0.500 0.000 0.500
0.230 0.186 0.000
0.270 0.686 0.500
0.730 0.314 0.500
0.770 0.814 0.000
0.229 0.352 0.500
0.271 0.852 0.000
0.729 0.148 0.000
0.771 0.648 0.500
```

Results
- E_form (eV per atom) = 0.269
- ρ (kg/m³) = 7667
- spin magnetization (μB per formula unit) = 0.000
- DOS at the Fermi energy (states/eV/cell) = 19.6
- total DFT energy (no corrections) (Ry per atom) = -0.3231
- symmetry = Pnnm (58)

---

No. 3
Computed, not measured: an optimized crystal structure of Tb4Nd2Sm2Ho at the PBE level of DFT.

Structure (POSCAR):
```
Tb4Nd2Sm2Ho
1.0
9.419 -1.815 0.000
9.419 1.815 0.000
-4.186 0.000 8.699
Tb Nd Sm Ho
4 2 2 1
direct
0.019 0.019 0.332
0.315 0.315 0.665
0.685 0.685 0.335
0.981 0.981 0.668
0.165 0.165 0.000
0.835 0.835 0.000
0.353 0.353 0.336
0.647 0.647 0.664
0.500 0.500 0.000
```

Results
- E_form (eV per atom) = 0.003
- ρ (kg/m³) = 7760
- spin magnetization (μB per formula unit) = 0.000
- DOS at the Fermi energy (states/eV/cell) = 11.9
- total DFT energy (no corrections) (Ry per atom) = -0.3433
- symmetry = C2/m (12)

---

- Which value of total DFT energy (no corrections) does entry 3 give?
  -0.3433 Ry per atom